# ZnHg3Te2F6

A relaxed structure of ZnHg3Te2F6 (PBE-GGA, Alexandria via LeMat-Bulk).

POSCAR file:
```
ZnHg3Te2F6
1.0
6.1064 -3.0411 0.0000
6.1064 3.0411 0.0000
-0.0623 0.0000 6.3499
Zn Hg Te F
1 3 2 6
Direct
0.0000 0.0000 0.0000
0.0000 0.5000 0.0000
0.5000 0.0000 0.0000
0.5000 0.5000 0.5000
0.2768 0.2768 0.5705
0.7232 0.7232 0.4295
0.1297 0.1297 0.2057
0.1571 0.6758 0.1644
0.3242 0.8429 0.8356
0.6758 0.1571 0.1644
0.8429 0.3242 0.8356
0.8703 0.8703 0.7943
```

Properties
Symmetry ... C2/m (12)

# ThHg2F8

A relaxed structure of ThHg2F8 (PBE-GGA, Alexandria via LeMat-Bulk).

POSCAR file:
```
ThHg2F8
1.0
-1.9229 3.1972 5.8562
1.9229 -3.1972 5.8562
1.9229 3.1972 -5.8562
Th Hg F
1 2 8
Direct
0.0000 0.0000 0.0000
0.3270 0.3270 0.0000
0.6730 0.6730 0.0000
0.1011 0.8414 0.2597
0.1228 0.6228 0.5000
0.2999 0.5000 0.7999
0.4182 0.1586 0.2597
0.5818 0.8414 0.7403
0.7001 0.5000 0.2001
0.8772 0.3772 0.5000
0.8989 0.1586 0.7403
```

Properties
Symmetry ... Immm (71)

# Th2HgF8

A relaxed structure of Th2HgF8 (PBE-GGA, Alexandria via LeMat-Bulk).

POSCAR file:
```
Th2HgF8
1.0
5.6394 0.0000 0.0000
0.0000 5.6394 0.0000
0.0000 0.0000 8.8488
Th Hg F
2 1 8
Direct
0.0000 0.5000 0.0000
0.5000 0.0000 0.0000
0.0000 0.0000 0.5000
0.2502 0.2502 0.1407
0.2502 0.2502 0.8593
0.2502 0.7498 0.1407
0.2502 0.7498 0.8593
0.7498 0.2502 0.1407
0.7498 0.2502 0.8593
0.7498 0.7498 0.1407
0.7498 0.7498 0.8593
```

Properties
Symmetry ... P4/mmm (123)

# ThHgF

A relaxed structure of ThHgF (PBE-GGA, Alexandria via LeMat-Bulk).

POSCAR file:
```
ThHgF
1.0
14.2940 0.0000 0.0000
0.0000 1.8092 3.1347
0.0000 -1.8092 3.1347
Th Hg F
2 2 2
Direct
0.1780 0.0000 0.0000
0.8220 0.0000 0.0000
0.0000 0.3330 0.3330
0.5000 0.0048 0.0048
0.2789 0.3331 0.3331
0.7211 0.3331 0.3331
```

Properties
Symmetry ... Amm2 (38)

Number 1: raw formation energy -1221.2 meV/atom, raw total energy -34.35 eV per formula unit. Number 2: raw formation energy -2541.5 meV/atom, raw total energy -50.95 eV per formula unit. Number 3: raw formation energy -3672.3 meV/atom, raw total energy -70.51 eV per formula unit. Number 4: raw formation energy -1452.5 meV/atom, raw total energy -13.95 eV per formula unit.